Here is crystalline AsWNO2 at its relaxed geometry from the Alexandria database. Energies are from PBE with a Hubbard U.

Summary:
crystal system: tetragonal
total magnetic moment: 1.36 Bohr magnetons per cell
VASP energy: -6.323 eV per atom
space group: P4/mmm

CIF file:
```
data_AsWNO2
_cell_length_a 3.922
_cell_length_b 3.922
_cell_length_c 4.143
_cell_angle_alpha 90.00
_cell_angle_beta 90.00
_cell_angle_gamma 90.00
_symmetry_space_group_name_H-M 'P 1'
_symmetry_Int_Tables_number 1
loop_
_symmetry_equiv_pos_as_xyz
'x,y,z'
loop_
_atom_site_label
_atom_site_fract_x
_atom_site_fract_y
_atom_site_fract_z
As1 0.000 0.000 0.000
W1 0.500 0.500 0.500
N1 0.500 0.500 0.000
O1 0.000 0.500 0.500
O2 0.500 0.000 0.500
```